PBE with a Hubbard U DyCu3Ni4O12, optimized geometry; final energy = -106.45 eV/cell
1.0
-5.4629 -0.4697 -3.1157
0.3645 -4.5913 4.3080
0.3069 5.6064 2.8716
O Cu Ni Dy
12 3 4 1
Direct
0.8316 0.1376 0.3061
0.1376 0.3061 0.8316
0.1684 0.4745 0.3061
0.6939 0.8316 0.5255
0.4745 0.3061 0.1684
0.3061 0.1684 0.4745
0.8316 0.5255 0.6939
0.8624 0.6939 0.1684
0.3061 0.8316 0.1376
0.6939 0.1684 0.8624
0.1684 0.8624 0.6939
0.5255 0.6939 0.8316
0.5000 0.5000 0.0000
0.5000 0.0000 0.5000
0.0000 0.5000 0.5000
0.0000 0.0000 0.5000
0.5000 0.0000 0.0000
0.5000 0.5000 0.5000
0.0000 0.5000 0.0000
0.0000 0.0000 0.0000